Record 1
! Th2InAu, optimized geometry, DFT PBE-GGA; values from VASP
&SYSTEM
  ibrav = 0, nat = 4, ntyp = 3
/
ATOMIC_SPECIES
Th 232.04 Th.upf
In 114.82 In.upf
Au 196.97 Au.upf
CELL_PARAMETERS angstrom
1.956 1.129 9.041
-1.956 1.129 9.041
0.000 -2.259 9.041
ATOMIC_POSITIONS crystal
Th 0.243 0.243 0.243
Th 0.757 0.757 0.757
In 0.000 0.000 0.000
Au 0.500 0.500 0.500
! ΔE to the lowest computed polymorph = 75.2 kJ/mol of formula units
! Space-group type = R-3m
! Formation energy from the elements = -0.24 eV/atom
! Size of the total moment = 0.00 μB/f.u.

=====

Record 2
! Pr2CoBr, optimized geometry, DFT PBE-GGA; values from VASP
&SYSTEM
  ibrav = 0, nat = 4, ntyp = 3
/
ATOMIC_SPECIES
Pr 140.91 Pr.upf
Co 58.93 Co.upf
Br 79.90 Br.upf
CELL_PARAMETERS angstrom
3.478 0.000 0.000
0.000 3.478 0.000
0.000 0.000 8.309
ATOMIC_POSITIONS crystal
Pr 0.000 0.000 0.209
Pr 0.000 0.000 0.791
Co 0.500 0.500 0.000
Br 0.500 0.500 0.500
! ΔE to the lowest computed polymorph = 69.2 kJ/mol of formula units
! Formation energy without anion corrections = -0.54 eV/atom
! Space-group type = P4/mmm
! Size of the total moment = 0.59 μB/f.u.

=====

Record 3
! LaTh2Hg3, optimized geometry, DFT PBE-GGA; values from VASP
&SYSTEM
  ibrav = 0, nat = 6, ntyp = 3
/
ATOMIC_SPECIES
La 138.91 La.upf
Th 232.04 Th.upf
Hg 200.59 Hg.upf
CELL_PARAMETERS angstrom
3.856 0.000 0.000
0.000 3.856 0.000
0.000 0.000 11.538
ATOMIC_POSITIONS crystal
La 0.000 0.000 0.000
Th 0.000 0.000 0.337
Th 0.000 0.000 0.663
Hg 0.500 0.500 0.172
Hg 0.500 0.500 0.500
Hg 0.500 0.500 0.828
! Space-group type = P4/mmm
! Formation energy from the elements = -0.29 eV/atom
! Size of the total moment = 0.12 μB/f.u.

=====

Record 4
! TlCd2BiPb, optimized geometry, DFT PBE-GGA; values from VASP
&SYSTEM
  ibrav = 0, nat = 10, ntyp = 4
/
ATOMIC_SPECIES
Tl 204.38 Tl.upf
Cd 112.41 Cd.upf
Bi 208.98 Bi.upf
Pb 207.20 Pb.upf
CELL_PARAMETERS angstrom
6.832 0.000 0.000
0.000 5.048 0.000
-1.491 0.000 9.252
ATOMIC_POSITIONS crystal
Tl 0.195 0.250 0.411
Tl 0.805 0.750 0.589
Cd 0.138 0.750 0.956
Cd 0.407 0.250 0.071
Cd 0.593 0.750 0.929
Cd 0.862 0.250 0.044
Bi 0.079 0.250 0.764
Bi 0.921 0.750 0.236
Pb 0.444 0.750 0.263
Pb 0.556 0.250 0.737
! ΔE to the lowest computed polymorph = 0.0 kJ/mol of formula units
! Space-group type = P2_1/m
! Formation energy from the elements = 0.04 eV/atom
! Size of the total moment = 0.00 μB/f.u.

=====

Record 5
! Mg6BSb, optimized geometry, DFT PBE-GGA; values from VASP
&SYSTEM
  ibrav = 0, nat = 8, ntyp = 3
/
ATOMIC_SPECIES
Mg 24.30 Mg.upf
B 10.81 B.upf
Sb 121.76 Sb.upf
CELL_PARAMETERS angstrom
3.950 0.000 0.000
0.000 4.273 4.909
0.000 -4.273 4.909
ATOMIC_POSITIONS crystal
Mg 0.000 0.000 0.000
Mg 0.000 0.458 0.458
Mg 0.000 0.562 0.909
Mg 0.000 0.909 0.562
Mg 0.500 0.219 0.733
Mg 0.500 0.733 0.219
B 0.500 0.843 0.843
Sb 0.500 0.234 0.234
! ΔE to the lowest computed polymorph = 0.0 kJ/mol of formula units
! Formation energy without anion corrections = 0.15 eV/atom
! Space-group type = Amm2
! Size of the total moment = 0.00 μB/f.u.

=====

Record 6
! GdPaCdSn, optimized geometry, DFT PBE-GGA; values from VASP
&SYSTEM
  ibrav = 0, nat = 4, ntyp = 4
/
ATOMIC_SPECIES
Gd 157.25 Gd.upf
Pa 231.04 Pa.upf
Cd 112.41 Cd.upf
Sn 118.71 Sn.upf
CELL_PARAMETERS angstrom
0.000 3.771 3.771
3.771 0.000 3.771
3.771 3.771 0.000
ATOMIC_POSITIONS crystal
Gd 0.000 0.000 0.000
Pa 0.500 0.500 0.500
Cd 0.750 0.750 0.750
Sn 0.250 0.250 0.250
! Space-group type = F-43m
! Formation energy from the elements = -0.13 eV/atom
! Size of the total moment = 9.04 μB/f.u.

=====

Record 7
! Ac8Pm3Tm, optimized geometry, DFT PBE-GGA; values from VASP
&SYSTEM
  ibrav = 0, nat = 12, ntyp = 3
/
ATOMIC_SPECIES
Ac 227.00 Ac.upf
Pm 145.00 Pm.upf
Tm 168.93 Tm.upf
CELL_PARAMETERS angstrom
-4.655 4.655 6.427
4.655 -4.655 6.427
4.655 4.655 -6.427
ATOMIC_POSITIONS crystal
Ac 0.124 0.124 0.737
Ac 0.244 0.740 0.000
Ac 0.260 0.260 0.504
Ac 0.386 0.386 0.263
Ac 0.614 0.876 0.000
Ac 0.740 0.244 0.000
Ac 0.756 0.756 0.496
Ac 0.876 0.614 0.000
Pm 0.000 0.000 0.000
Pm 0.250 0.750 0.500
Pm 0.750 0.250 0.500
Tm 0.500 0.500 0.000
! Space-group type = I-42m
! Formation energy from the elements = 0.60 eV/atom
! Size of the total moment = 0.01 μB/f.u.

=====

Record 8
! AcLaTb2Bi4, optimized geometry, DFT PBE-GGA; values from VASP
&SYSTEM
  ibrav = 0, nat = 8, ntyp = 4
/
ATOMIC_SPECIES
Ac 227.00 Ac.upf
La 138.91 La.upf
Tb 158.93 Tb.upf
Bi 208.98 Bi.upf
CELL_PARAMETERS angstrom
8.035 0.000 0.000
0.000 4.652 0.000
-2.689 0.000 7.590
ATOMIC_POSITIONS crystal
Ac 0.000 0.000 0.000
La 0.000 0.500 0.500
Tb 0.500 0.000 0.500
Tb 0.500 0.500 0.000
Bi 0.265 0.000 0.751
Bi 0.269 0.500 0.261
Bi 0.731 0.500 0.739
Bi 0.735 0.000 0.249
! Space-group type = P2/m
! Formation energy from the elements = -0.94 eV/atom
! Size of the total moment = 0.00 μB/f.u.

=====

> Which formula does entry 1 have?

Th2InAu